[1]
Density functional theory data (PBE-GGA) for a geometry-optimized TaZnBr2 structure.

Geometry as CIF:
```
data_TaZnBr2
_space_group_name_H-M_alt 'P 1'
_space_group_IT_number 1
_cell_length_a 5.3557
_cell_length_b 5.3557
_cell_length_c 7.8562
_cell_angle_alpha 70.34
_cell_angle_beta 70.34
_cell_angle_gamma 34.88
loop_
_space_group_symop_operation_xyz
'x,y,z'
loop_
_atom_site_label
_atom_site_type_symbol
_atom_site_fract_x
_atom_site_fract_y
_atom_site_fract_z
Br1 Br 0.0058 0.0058 0.0934
Br2 Br 0.8536 0.8536 0.6565
Ta1 Ta 0.4545 0.4545 0.3749
Zn1 Zn 0.1860 0.1860 0.3752
```

Calculated values
SG: Cm, No. 8
DOS(E_F): 0.51 states/eV per atom
Total magnetic moment: 0.6 μB per formula unit
Energy: -4.213 eV/atom

[2]
Density functional theory data (PBE-GGA) for a geometry-optimized Li2TcAs2 structure.

Geometry as CIF:
```
data_Li2TcAs2
_space_group_name_H-M_alt 'P 1'
_space_group_IT_number 1
_cell_length_a 6.4267
_cell_length_b 6.4267
_cell_length_c 3.7832
_cell_angle_alpha 90.00
_cell_angle_beta 90.00
_cell_angle_gamma 90.00
loop_
_space_group_symop_operation_xyz
'x,y,z'
loop_
_atom_site_label
_atom_site_type_symbol
_atom_site_fract_x
_atom_site_fract_y
_atom_site_fract_z
As1 As 0.3578 0.8578 0.0000
As2 As 0.8578 0.6422 0.0000
As3 As 0.6422 0.1422 0.0000
As4 As 0.1422 0.3578 0.0000
Tc1 Tc 0.0000 0.0000 0.0000
Tc2 Tc 0.5000 0.5000 0.0000
Li1 Li 0.1663 0.6663 0.5000
Li2 Li 0.6663 0.8337 0.5000
Li3 Li 0.8337 0.3337 0.5000
Li4 Li 0.3337 0.1663 0.5000
```

Calculated values
Calculated formation energy: -0.37 eV per atom
SG: P4/mbm, No. 127
DOS(E_F): 0.60 states/eV per atom
Total magnetic moment: 0.0 μB per formula unit